*i*
Entry from Alexandria via LeMat-Bulk: a geometry-optimized CaPr2Pu structure (PBE).

abc: 13.0895 13.0895 13.0895
angles: 15.65 15.65 15.65
With the nearest neighbours (Å) after each atom.
Fractional positions:
Ca: 0.0000 0.0000 0.0000  6 Ca 3.56, 6 Pr 3.80
Pr: 0.4157 0.4157 0.4157  1 Pu 3.27, 6 Pr 3.56
Pr: 0.5843 0.5843 0.5843  1 Pu 3.27, 6 Pr 3.56
Pu: 0.5000 0.5000 0.5000  2 Pr 3.27, 6 Pu 3.56

*ii*
Entry from Alexandria via LeMat-Bulk: a geometry-optimized CaPr2Pu structure (PBE).

abc: 3.6274 3.6274 10.5841
angles: 90.00 90.00 90.00
With the nearest neighbours (Å) after each atom.
Fractional positions:
Ca: 0.0000 0.0000 0.0000  4 Ca 3.63, 8 Pr 3.85
Pr: 0.5000 0.5000 0.2713  4 Pu 3.53, 4 Pr 3.63, 4 Ca 3.85
Pr: 0.5000 0.5000 0.7287  4 Pu 3.53, 4 Pr 3.63, 4 Ca 3.85
Pu: 0.0000 0.0000 0.5000  8 Pr 3.53, 4 Pu 3.63

Winner for stability: *ii*